Material: KRbBa2Pt
Method: DFT, PBE
State: relaxed

Output
energy of formation: -0.218 eV/atom
magnetic moment: 0.00 μB/f.u.

```
data_KRbBa2Pt
_chemical_formula_sum 'K1 Rb1 Ba2 Pt1'
_space_group_name_H-M_alt 'P 4/m m m'
_space_group_IT_number 123
_space_group_name_Hall '-P 4 2'
_cell_length_a 6.277
_cell_length_b 6.277
_cell_length_c 7.064
_cell_angle_alpha 90.00
_cell_angle_beta 90.00
_cell_angle_gamma 90.00
loop_
_atom_site_label
_atom_site_type_symbol
_atom_site_fract_x
_atom_site_fract_y
_atom_site_fract_z
_atom_site_occupancy
K1 K 0.000 0.000 0.000 1
Rb1 Rb 0.500 0.500 0.000 1
Ba1 Ba 0.000 0.500 0.500 1
Pt1 Pt 0.500 0.500 0.500 1
```

=====

Material: KRbBa2Pt
Method: DFT, PBE
State: relaxed

Output
energy of formation: -0.216 eV/atom
magnetic moment: 0.00 μB/f.u.

```
data_KRbBa2Pt
_chemical_formula_sum 'K1 Rb1 Ba2 Pt1'
_space_group_name_H-M_alt 'P 4/m m m'
_space_group_IT_number 123
_space_group_name_Hall '-P 4 2'
_cell_length_a 6.268
_cell_length_b 6.268
_cell_length_c 6.978
_cell_angle_alpha 90.00
_cell_angle_beta 90.00
_cell_angle_gamma 90.00
loop_
_atom_site_label
_atom_site_type_symbol
_atom_site_fract_x
_atom_site_fract_y
_atom_site_fract_z
_atom_site_occupancy
K1 K 0.000 0.000 0.000 1
Rb1 Rb 0.500 0.500 0.000 1
Ba1 Ba 0.000 0.500 0.500 1
Pt1 Pt 0.000 0.000 0.500 1
```

=====

Material: KRb2BaPt
Method: DFT, PBE
State: relaxed

Output
energy of formation: -0.069 eV/atom
magnetic moment: 0.39 μB/f.u.

```
data_KRb2BaPt
_chemical_formula_sum 'K1 Rb2 Ba1 Pt1'
_space_group_name_H-M_alt 'P 4/m m m'
_space_group_IT_number 123
_space_group_name_Hall '-P 4 2'
_cell_length_a 6.897
_cell_length_b 6.897
_cell_length_c 6.107
_cell_angle_alpha 90.00
_cell_angle_beta 90.00
_cell_angle_gamma 90.00
loop_
_atom_site_label
_atom_site_type_symbol
_atom_site_fract_x
_atom_site_fract_y
_atom_site_fract_z
_atom_site_occupancy
K1 K 0.000 0.000 0.000 1
Rb1 Rb 0.000 0.500 0.500 1
Ba1 Ba 0.500 0.500 0.000 1
Pt1 Pt 0.500 0.500 0.500 1
```

=====

Material: KBa2Sb3Pt4
Method: DFT, PBE
State: relaxed

Output
magnetic moment: 0.00 μB/f.u.
ΔE_f (raw): -663 meV/atom

```
data_KBa2Sb3Pt4
_chemical_formula_sum 'K1 Ba2 Sb3 Pt4'
_space_group_name_H-M_alt 'P -4 m 2'
_space_group_IT_number 115
_cell_length_a 4.826
_cell_length_b 4.826
_cell_length_c 11.027
_cell_angle_alpha 90.00
_cell_angle_beta 90.00
_cell_angle_gamma 90.00
loop_
_space_group_symop_operation_xyz
'x,y,z'
'y,-x,-z'
'-x,-y,z'
'-y,x,-z'
'-x,y,z'
'-y,-x,-z'
'x,-y,z'
'y,x,-z'
loop_
_atom_site_label
_atom_site_type_symbol
_atom_site_fract_x
_atom_site_fract_y
_atom_site_fract_z
_atom_site_occupancy
K1 K 0.000 0.000 0.000 1
Ba1 Ba 0.000 0.500 0.741 1
Sb1 Sb 0.000 0.500 0.384 1
Sb2 Sb 0.500 0.500 0.000 1
Pt1 Pt 0.000 0.000 0.500 1
Pt2 Pt 0.000 0.500 0.147 1
Pt3 Pt 0.500 0.500 0.500 1
```